! ScPbSe, optimized geometry, DFT PBE; values from VASP
! Distance to the lowest polymorph of the same formula = 0.566 eV per atom
! Total magnetic moment = 0.00 μB per cell
! DFT total energy = -4.814 eV per atom
&SYSTEM
  ibrav = 0, nat = 3, ntyp = 3
/
ATOMIC_SPECIES
Pb 207.20 Pb.upf
Sc 44.96 Sc.upf
Se 78.96 Se.upf
CELL_PARAMETERS angstrom
-3.0089 3.4337 1.7027
-1.8556 -0.3943 4.4882
1.4904 3.0148 3.5260
ATOMIC_POSITIONS crystal
Pb 0.5000 0.5000 0.5000
Sc 0.7500 0.7500 0.7500
Se 0.0000 0.0000 0.0000

! Ta2CdN, optimized geometry, DFT PBE; values from VASP
! Distance to the lowest polymorph of the same formula = 0.000 eV per atom
! Total magnetic moment = 0.00 μB per cell
! DFT total energy = -7.941 eV per atom
&SYSTEM
  ibrav = 0, nat = 8, ntyp = 3
/
ATOMIC_SPECIES
N 14.01 N.upf
Cd 112.41 Cd.upf
Ta 180.95 Ta.upf
CELL_PARAMETERS angstrom
5.3441 0.0000 0.0000
0.0000 5.3441 0.0000
2.6721 2.6721 5.5531
ATOMIC_POSITIONS crystal
N 0.5000 0.5000 0.0000
N 0.2500 0.7500 0.5000
Cd 0.0000 0.0000 0.0000
Cd 0.7500 0.2500 0.5000
Ta 0.4859 0.1250 0.2500
Ta 0.2641 0.6250 0.2500
Ta 0.3750 0.5141 0.7500
Ta 0.8750 0.7359 0.7500